Computed, not measured: an optimized crystal structure of CaBr5 at the GGA-PBEsol level of DFT.

Geometry as CIF:
```
data_CaBr5
_space_group_name_H-M_alt 'P -6 2 m'
_space_group_IT_number 189
_space_group_name_Hall 'P -6 -2'
_cell_length_a 5.2851
_cell_length_b 5.2851
_cell_length_c 6.6779
_cell_angle_alpha 90.00
_cell_angle_beta 90.00
_cell_angle_gamma 120.00
loop_
_atom_site_label
_atom_site_type_symbol
_atom_site_fract_x
_atom_site_fract_y
_atom_site_fract_z
Ca1 Ca 0.0000 0.0000 0.0000
Br1 Br 0.0000 0.6762 0.5000
Br2 Br 0.3333 0.6667 0.0000
```

## Properties
energy relative to the lowest polymorph listed for this composition: 0.00 kJ per mole of atoms
DFT total energy: -2.538 eV/atom
formation energy (no corrections): -624 meV/atom